[1]
Computed, not measured: a relaxed Tm2GaS crystal at the PBE-GGA level of DFT. Values from VASP.

Total energy, Ha/atom: -0.1937
SG: R-3m (166)
E above lowest polymorph, meV/atom: 56.2

The structure in Quantum ESPRESSO input format:
```
&SYSTEM
  ibrav = 0, nat = 12, ntyp = 3
/
ATOMIC_SPECIES
Tm 168.93 Tm.upf
Ga 69.72 Ga.upf
S 32.06 S.upf
CELL_PARAMETERS angstrom
3.785 0.000 0.000
-1.892 3.278 0.000
0.000 0.000 21.486
ATOMIC_POSITIONS crystal
Tm 0.000 0.000 0.244
Tm 0.000 0.000 0.756
Tm 0.333 0.667 0.423
Tm 0.333 0.667 0.911
Tm 0.667 0.333 0.089
Tm 0.667 0.333 0.577
Ga 0.000 0.000 0.000
Ga 0.333 0.667 0.667
Ga 0.667 0.333 0.333
S 0.000 0.000 0.500
S 0.333 0.667 0.167
S 0.667 0.333 0.833
```

---

[2]
Computed, not measured: a relaxed TmGaS3 crystal at the PBE-GGA level of DFT. Values from VASP.

Total energy, Ha/atom: -0.1961
SG: Ama2 (40)
E above lowest polymorph, meV/atom: 0.0

The structure in Quantum ESPRESSO input format:
```
&SYSTEM
  ibrav = 0, nat = 10, ntyp = 3
/
ATOMIC_SPECIES
Tm 168.93 Tm.upf
Ga 69.72 Ga.upf
S 32.06 S.upf
CELL_PARAMETERS angstrom
3.847 0.000 0.000
0.000 11.203 3.166
0.000 -11.203 3.166
ATOMIC_POSITIONS crystal
Tm 0.250 0.176 0.824
Tm 0.750 0.824 0.176
Ga 0.250 0.305 0.559
Ga 0.750 0.559 0.305
S 0.250 0.043 0.485
S 0.250 0.369 0.201
S 0.250 0.665 0.910
S 0.750 0.201 0.369
S 0.750 0.485 0.043
S 0.750 0.910 0.665
```

---

[3]
Computed, not measured: a relaxed Tm2GaS crystal at the PBE-GGA level of DFT. Values from VASP.

Total energy, Ha/atom: -0.1958
SG: Cmcm (63)
E above lowest polymorph, meV/atom: 0.0

The structure in Quantum ESPRESSO input format:
```
&SYSTEM
  ibrav = 0, nat = 16, ntyp = 3
/
ATOMIC_SPECIES
Tm 168.93 Tm.upf
Ga 69.72 Ga.upf
S 32.06 S.upf
CELL_PARAMETERS angstrom
4.095 0.000 0.000
0.000 21.525 0.000
0.000 0.000 3.899
ATOMIC_POSITIONS crystal
Tm 0.000 0.069 0.250
Tm 0.000 0.318 0.250
Tm 0.000 0.682 0.750
Tm 0.000 0.931 0.750
Tm 0.500 0.182 0.750
Tm 0.500 0.431 0.750
Tm 0.500 0.569 0.250
Tm 0.500 0.818 0.250
Ga 0.000 0.459 0.250
Ga 0.000 0.541 0.750
Ga 0.500 0.041 0.750
Ga 0.500 0.959 0.250
S 0.000 0.193 0.250
S 0.000 0.807 0.750
S 0.500 0.307 0.750
S 0.500 0.693 0.250
```

---

[4]
Computed, not measured: a relaxed TmGaS crystal at the PBE-GGA level of DFT. Values from VASP.

Total energy, Ha/atom: -0.1851
SG: R-3m (166)

The structure in Quantum ESPRESSO input format:
```
&SYSTEM
  ibrav = 0, nat = 6, ntyp = 3
/
ATOMIC_SPECIES
Tm 168.93 Tm.upf
Ga 69.72 Ga.upf
S 32.06 S.upf
CELL_PARAMETERS angstrom
2.045 1.181 10.531
-2.045 1.181 10.531
0.000 -2.362 10.531
ATOMIC_POSITIONS crystal
Tm 0.075 0.075 0.075
Tm 0.925 0.925 0.925
Ga 0.340 0.340 0.340
Ga 0.660 0.660 0.660
S 0.222 0.222 0.222
S 0.778 0.778 0.778
```

---

In the order shown, the computed formation energy from raw total energies values come out to -1.25; -1.36; -1.30; -1.16 eV per atom.